[1]
DFT (PBE) results for crystalline CsSb4Pb6 at its relaxed geometry.

```
CsSb4Pb6
1.0
9.551 0.000 0.000
-4.776 8.272 0.000
0.000 0.000 4.920
Cs Sb Pb
1 4 6
Direct
0.000 0.000 0.000
0.333 0.667 0.000
0.369 0.184 0.500
0.816 0.184 0.500
0.816 0.631 0.500
0.197 0.395 0.500
0.197 0.803 0.500
0.546 0.093 0.000
0.546 0.454 0.000
0.605 0.803 0.500
0.907 0.454 0.000
```

Properties
Energy relative to the elements, uncorrected: -40 meV per atom
Space-group type: P-6m2, No. 187
DOS at the Fermi energy: 4.82 states/eV/cell
Total magnetization: 0.00 μB per formula unit


[2]
DFT (PBE) results for crystalline CsSb2Pb6 at its relaxed geometry.

```
CsSb2Pb6
1.0
5.131 0.000 0.000
0.000 5.131 0.000
0.000 0.000 12.057
Cs Sb Pb
1 2 6
Direct
0.000 0.000 0.000
0.500 0.500 0.125
0.500 0.500 0.875
0.000 0.000 0.500
0.000 0.500 0.294
0.000 0.500 0.706
0.500 0.000 0.294
0.500 0.000 0.706
0.500 0.500 0.500
```

Properties
Energy relative to the elements, uncorrected: -94 meV per atom
Space-group type: P4/mmm, No. 123
DOS at the Fermi energy: 4.02 states/eV/cell
Total magnetization: 0.00 μB per formula unit


[3]
DFT (PBE) results for crystalline Cs3Sb2Pb2 at its relaxed geometry.

```
Cs3Sb2Pb2
1.0
7.463 0.000 0.000
0.000 10.789 0.000
0.000 0.000 16.435
Cs Sb Pb
12 8 8
Direct
0.108 0.143 0.108
0.108 0.143 0.392
0.108 0.357 0.608
0.108 0.357 0.892
0.326 0.716 0.750
0.326 0.784 0.250
0.674 0.216 0.750
0.674 0.284 0.250
0.892 0.643 0.108
0.892 0.643 0.392
0.892 0.857 0.608
0.892 0.857 0.892
0.198 0.066 0.750
0.198 0.434 0.250
0.403 0.750 0.000
0.403 0.750 0.500
0.597 0.250 0.000
0.597 0.250 0.500
0.802 0.566 0.750
0.802 0.934 0.250
0.382 0.026 0.585
0.382 0.026 0.915
0.382 0.474 0.085
0.382 0.474 0.415
0.618 0.526 0.585
0.618 0.526 0.915
0.618 0.974 0.085
0.618 0.974 0.415
```

Properties
Energy relative to the elements, uncorrected: -257 meV per atom
Space-group type: Pbcm, No. 57
DOS at the Fermi energy: 15.72 states/eV/cell
Total magnetization: 0.00 μB per formula unit


[4]
DFT (PBE) results for crystalline Cs3SbPb4 at its relaxed geometry.

```
Cs3SbPb4
1.0
7.539 0.000 0.000
0.000 14.217 0.000
0.000 0.000 6.976
Cs Sb Pb
6 2 8
Direct
0.250 0.004 0.180
0.250 0.250 0.573
0.250 0.496 0.180
0.750 0.504 0.820
0.750 0.750 0.427
0.750 0.996 0.820
0.250 0.750 0.338
0.750 0.250 0.662
0.030 0.750 0.933
0.250 0.609 0.676
0.250 0.891 0.676
0.470 0.750 0.933
0.530 0.250 0.067
0.750 0.109 0.324
0.750 0.391 0.324
0.970 0.250 0.067
```

Properties
Energy relative to the elements, uncorrected: -222 meV per atom
Space-group type: Pmmn, No. 59
DOS at the Fermi energy: 3.29 states/eV/cell
Total magnetization: 0.00 μB per formula unit


Q: What is the total magnetization in the second record?
A: 0.00 μB per formula unit